1.
First-principles (PBE) data for an optimized crystal structure of BeAlIr2, as listed in OQMD.

relative energy among the computed polymorphs = 21 meV per atom

Cell: 4.134 5.849 12.398 Å, 90.00 90.00 90.00°
Fractional coordinates of all 24 atoms:
Ir: 0.000 0.750 0.833
Ir: 0.500 0.750 0.333
Ir: 0.000 0.250 0.833
Al: 0.000 0.000 0.333
Ir: 0.500 0.250 0.667
Al: 0.500 0.500 0.833
Be: 0.999 0.500 0.333
Ir: 0.000 0.250 0.500
Ir: 0.500 0.750 0.667
Ir: 0.000 0.250 0.167
Be: 0.501 0.000 0.833
Be: 0.001 0.500 0.667
Al: 0.000 0.000 0.000
Ir: 0.500 0.250 0.333
Ir: 0.500 0.750 0.000
Al: 0.000 0.000 0.667
Ir: 0.500 0.250 0.000
Be: 0.000 0.500 0.000
Ir: 0.000 0.750 0.500
Ir: 0.000 0.750 0.167
Be: 0.499 0.000 0.167
Al: 0.500 0.500 0.167
Be: 0.500 0.000 0.500
Al: 0.500 0.500 0.500

***

2.
First-principles (PBE) data for an optimized crystal structure of BeAlIr2, as listed in OQMD.

relative energy among the computed polymorphs = 21 meV per atom

Cell: 4.135 5.845 12.401 Å, 90.00 90.00 90.00°
Fractional coordinates of all 24 atoms:
Ir: 0.500 0.250 0.000
Be: 0.500 0.500 0.500
Al: 0.999 0.500 0.333
Be: 0.999 0.000 0.333
Ir: 0.000 0.750 0.500
Ir: 0.001 0.750 0.833
Be: 0.501 0.500 0.833
Be: 0.001 0.000 0.667
Al: 0.001 0.500 0.667
Ir: 0.499 0.750 0.333
Ir: 0.499 0.250 0.333
Ir: 0.000 0.250 0.500
Be: 0.000 0.000 0.000
Ir: 0.001 0.250 0.833
Ir: 0.999 0.250 0.167
Ir: 0.501 0.750 0.667
Al: 0.499 0.000 0.167
Al: 0.000 0.500 0.000
Ir: 0.501 0.250 0.667
Al: 0.500 0.000 0.500
Ir: 0.500 0.750 0.000
Al: 0.501 0.000 0.833
Ir: 0.999 0.750 0.167
Be: 0.499 0.500 0.167

***

3.
First-principles (PBE) data for an optimized crystal structure of BeAlIr, as listed in OQMD.

relative energy among the computed polymorphs = 0 meV per atom

Cell: 3.990 3.990 3.990 Å, 60.00 60.00 60.00°
Fractional coordinates of all 3 atoms:
Al: 0.250 0.250 0.250
Ir: 0.000 0.000 0.000
Be: 0.750 0.750 0.750

***

4.
First-principles (PBE) data for an optimized crystal structure of BeAlIr2, as listed in OQMD.

relative energy among the computed polymorphs = 422 meV per atom

Cell: 3.940 3.940 8.296 Å, 90.00 90.00 120.00°
Fractional coordinates of all 8 atoms:
Be: 0.000 0.000 0.000
Ir: 0.667 0.333 0.406
Be: 0.000 0.000 0.500
Ir: 0.333 0.667 0.594
Al: 0.667 0.333 0.750
Ir: 0.333 0.667 0.906
Al: 0.333 0.667 0.250
Ir: 0.667 0.333 0.094

***

5.
First-principles (PBE) data for an optimized crystal structure of BeAlIr2, as listed in OQMD.

relative energy among the computed polymorphs = 692 meV per atom

Cell: 3.950 3.950 8.140 Å, 90.00 90.00 120.00°
Fractional coordinates of all 8 atoms:
Al: 0.333 0.667 0.750
Ir: 0.333 0.667 0.091
Be: 0.000 0.000 0.750
Al: 0.667 0.333 0.250
Ir: 0.667 0.333 0.591
Ir: 0.333 0.667 0.409
Ir: 0.667 0.333 0.909
Be: 0.000 0.000 0.250

***

6.
First-principles (PBE) data for an optimized crystal structure of BeAlIr2, as listed in OQMD.

relative energy among the computed polymorphs = 0 meV per atom

Cell: 2.914 2.914 5.839 Å, 90.00 90.00 90.00°
Fractional coordinates of all 4 atoms:
Al: 0.000 0.000 0.000
Ir: 0.500 0.500 0.735
Ir: 0.500 0.500 0.265
Be: 0.000 0.000 0.500

***

7.
First-principles (PBE) data for an optimized crystal structure of LaBeAlPt, as listed in OQMD.

relative energy among the computed polymorphs = 172 meV per atom

Cell: 4.772 4.772 4.772 Å, 60.00 60.00 60.00°
Fractional coordinates of all 4 atoms:
Al: 0.000 0.000 0.000
Be: 0.750 0.750 0.750
La: 0.250 0.250 0.250
Pt: 0.500 0.500 0.500

***

8.
First-principles (PBE) data for an optimized crystal structure of LaBeAlPt, as listed in OQMD.

relative energy among the computed polymorphs = 0 meV per atom

Cell: 4.759 4.759 4.759 Å, 60.00 60.00 60.00°
Fractional coordinates of all 4 atoms:
Al: 0.500 0.500 0.500
Be: 0.750 0.750 0.750
Pt: 0.250 0.250 0.250
La: 0.000 0.000 0.000

***

9.
First-principles (PBE) data for an optimized crystal structure of LiBeAlNi, as listed in OQMD.

relative energy among the computed polymorphs = 0 meV per atom

Cell: 3.961 3.961 3.961 Å, 60.00 60.00 60.00°
Fractional coordinates of all 4 atoms:
Be: 0.500 0.500 0.500
Al: 0.000 0.000 0.000
Li: 0.750 0.750 0.750
Ni: 0.250 0.250 0.250

***

10.
First-principles (PBE) data for an optimized crystal structure of LuBeAl, as listed in OQMD.

relative energy among the computed polymorphs = 457 meV per atom

Cell: 4.580 4.580 4.580 Å, 60.00 60.00 60.00°
Fractional coordinates of all 3 atoms:
Be: 0.750 0.750 0.750
Lu: 0.000 0.000 0.000
Al: 0.250 0.250 0.250

***

11.
First-principles (PBE) data for an optimized crystal structure of LuBe2Al, as listed in OQMD.

VASP energy = -0.1379 hartree per atom

Cell: 4.403 4.403 4.403 Å, 60.00 60.00 60.00°
Fractional coordinates of all 4 atoms:
Be: 0.000 0.000 0.000
Be: 0.750 0.750 0.750
Al: 0.500 0.500 0.500
Lu: 0.250 0.250 0.250

***

12.
First-principles (PBE) data for an optimized crystal structure of LuBeAl, as listed in OQMD.

relative energy among the computed polymorphs = 0 meV per atom

Cell: 4.446 4.446 4.446 Å, 60.00 60.00 60.00°
Fractional coordinates of all 3 atoms:
Be: 0.250 0.250 0.250
Lu: 0.750 0.750 0.750
Al: 0.000 0.000 0.000

***

The following total magnetization values (in Bohr magnetons per cell) correspond, in order, to the records above: 0.0 0.0 0.0 0.0 0.0 0.0 0.0 0.0 0.0 0.0 0.0 0.0.